1.
The following is a PBE calculation of crystalline Th2ZnSn at its relaxed geometry, from the Alexandria database.

Unit cell a=4.933 b=4.933 c=4.406 alpha=90.00 beta=90.00 gamma=90.00
Sites, in units of the cell vectors:
Th  0.000  0.500  0.000
Th  0.500  0.000  0.000
Zn  0.000  0.000  0.500
Sn  0.500  0.500  0.500

Properties
energy relative to the elements: -131 kJ/mol of formula units

2.
The following is a PBE calculation of crystalline NiH6PdPb at its relaxed geometry, from the Alexandria database.

Unit cell a=4.771 b=4.771 c=4.608 alpha=90.07 beta=90.07 gamma=119.88
Sites, in units of the cell vectors:
Ni  0.000  0.000  0.000
H  0.307  0.257  0.809
H  0.309  0.051  0.191
H  0.743  0.051  0.808
H  0.743  0.693  0.191
H  0.949  0.257  0.192
H  0.949  0.691  0.809
Pd  0.666  0.334  0.000
Pb  0.333  0.667  0.500

3.
The following is a PBE calculation of crystalline NaPm2PaN4 at its relaxed geometry, from the Alexandria database.

Unit cell a=6.093 b=3.628 c=6.111 alpha=90.00 beta=107.80 gamma=90.00
Sites, in units of the cell vectors:
Na  0.000  0.000  0.000
Pm  0.000  0.500  0.500
Pm  0.500  0.000  0.500
Pa  0.500  0.500  0.000
N  0.258  0.000  0.750
N  0.303  0.500  0.241
N  0.697  0.500  0.759
N  0.742  0.000  0.250

Properties
formation energy from raw total energies: -1.21 eV/atom

4.
The following is a PBE calculation of crystalline CsCaRe2Ge at its relaxed geometry, from the Alexandria database.

Unit cell a=4.994 b=4.994 c=5.476 alpha=90.00 beta=90.00 gamma=90.00
Sites, in units of the cell vectors:
Cs  0.000  0.000  0.000
Ca  0.000  0.000  0.500
Re  0.000  0.500  0.000
Re  0.500  0.000  0.000
Ge  0.500  0.500  0.500

Properties
energy relative to the elements: 1424 kJ/mol of formula units

5.
The following is a PBE calculation of crystalline Ac2SnAs at its relaxed geometry, from the Alexandria database.

Unit cell a=3.860 b=3.860 c=8.462 alpha=90.00 beta=90.00 gamma=90.00
Sites, in units of the cell vectors:
Ac  0.000  0.000  0.222
Ac  0.000  0.000  0.778
Sn  0.500  0.500  0.500
As  0.500  0.500  0.000

Properties
distance to the lowest polymorph of the same formula: 18.46 kJ/mol of atoms
energy relative to the elements: -344 kJ/mol of formula units

6.
The following is a PBE calculation of crystalline Mn2FeAu at its relaxed geometry, from the Alexandria database.

Unit cell a=4.713 b=4.713 c=4.713 alpha=131.07 beta=131.07 gamma=71.71
Sites, in units of the cell vectors:
Mn  0.250  0.750  0.500
Mn  0.750  0.250  0.500
Fe  0.000  0.000  0.000
Au  0.500  0.500  0.000

Properties
distance to the lowest polymorph of the same formula: 8.34 kJ/mol of atoms
energy relative to the elements: 88 kJ/mol of formula units

7.
The following is a PBE calculation of crystalline K2Y2US6 at its relaxed geometry, from the Alexandria database.

Unit cell a=6.962 b=6.962 c=7.880 alpha=98.56 beta=98.56 gamma=119.93
Sites, in units of the cell vectors:
K  0.169  0.831  0.000
K  0.831  0.169  0.000
Y  0.334  0.666  0.500
Y  0.666  0.334  0.500
U  0.000  0.000  0.500
S  0.064  0.394  0.696
S  0.260  0.260  0.305
S  0.394  0.064  0.696
S  0.606  0.936  0.304
S  0.740  0.740  0.695
S  0.936  0.606  0.304

Properties
formation energy from raw total energies: -1.75 eV/atom

8.
The following is a PBE calculation of crystalline SrEr3Os at its relaxed geometry, from the Alexandria database.

Unit cell a=5.465 b=5.465 c=5.465 alpha=90.00 beta=90.00 gamma=90.00
Sites, in units of the cell vectors:
Sr  0.000  0.000  0.000
Er  0.000  0.500  0.500
Er  0.500  0.000  0.500
Er  0.500  0.500  0.000
Os  0.500  0.500  0.500

Properties
energy relative to the elements: -45 kJ/mol of formula units

no.,E (eV per formula unit),ρ (g cm⁻³),spin magnetization (Bohr magnetons per cell)
1,-21.5,10.041,0.0
2,-34.3,6.908,0.0
3,-63.3,7.746,0.0
4,-17.6,7.515,1.3
5,-20.4,8.532,0.0
6,-29.2,10.344,9.7
7,-70.5,3.607,2.0
8,-27.1,7.930,0.0